[1]
{"formula": "YCdP2Cl", "functional": "SCAN", "state": "PBEsol geometry", "lattice": [[5.023, 0.000, 0.000], [0.000, 5.281, 0.000], [0.000, 0.000, 5.281]], "species": ["Y", "P", "P", "Cl", "Cd"], "frac_coords": [[0.000, 0.000, 0.000], [0.000, 0.000, 0.500], [0.000, 0.500, 0.000], [0.500, 0.000, 0.000], [0.500, 0.500, 0.500]], "m_tot_mub_per_cell": 0.56, "e_tot_ev_per_atom": -17.522}



[2]
{"formula": "ZnCdPCl2", "functional": "SCAN", "state": "PBEsol geometry", "lattice": [[4.633, 0.000, 0.000], [0.000, 4.633, 0.000], [0.000, 0.000, 5.024]], "species": ["P", "Zn", "Cl", "Cl", "Cd"], "frac_coords": [[0.000, 0.000, 0.500], [0.000, 0.000, 0.000], [0.000, 0.500, 0.000], [0.500, 0.000, 0.000], [0.500, 0.500, 0.500]], "m_tot_mub_per_cell": 1.03, "e_tot_ev_per_atom": -14.139}



[3]
{"formula": "Cd2PbCl", "functional": "SCAN", "state": "PBEsol geometry", "lattice": [[-0.442, 1.814, -2.813], [-5.219, -0.991, 0.181], [-0.729, 4.373, 2.933]], "species": ["Pb", "Cl", "Cd", "Cd"], "frac_coords": [[0.500, 0.000, 0.000], [0.500, 0.500, 0.500], [0.000, 0.000, 0.500], [0.000, 0.500, 0.000]], "m_tot_mub_per_cell": 0.00, "e_tot_ev_per_atom": -36.378}